Rb3Cd2PdF9: relaxed, GGA-PBE.

Cell lengths 6.3091, 6.3091, 7.7324 Å; angles 90.00, 90.00, 120.00 degrees
Sites, in units of the cell vectors:
Rb 0.3333 0.6667 0.6617
Rb 0.0000 0.0000 0.0000
Rb 0.6667 0.3333 0.3383
Cd 0.3333 0.6667 0.1686
Cd 0.6667 0.3333 0.8314
Pd 0.0000 0.0000 0.5000
F 0.8350 0.1650 0.6638
F 0.8350 0.6699 0.6638
F 0.3301 0.1650 0.6638
F 0.6699 0.8350 0.3362
F 0.1650 0.3301 0.3362
F 0.1650 0.8350 0.3362
F 0.5000 0.0000 0.0000
F 0.0000 0.5000 0.0000
F 0.5000 0.5000 0.0000

## Properties
Raw total energy: -60.36 eV per cell